No. 1
! Tb2Er3S8, optimized geometry, DFT PBE; values from VASP
&SYSTEM
  ibrav = 0, nat = 13, ntyp = 3
/
ATOMIC_SPECIES
Tb 158.93 Tb.upf
Er 167.26 Er.upf
S 32.06 S.upf
CELL_PARAMETERS angstrom
6.820 -3.940 0.000
6.820 3.940 0.000
-2.280 0.000 6.250
ATOMIC_POSITIONS crystal
Tb 0.237 0.237 0.158
Tb 0.763 0.763 0.842
Er 0.238 0.762 0.500
Er 0.500 0.500 0.000
Er 0.762 0.238 0.500
S 0.119 0.119 0.415
S 0.143 0.611 0.087
S 0.384 0.384 0.573
S 0.389 0.857 0.913
S 0.611 0.143 0.087
S 0.616 0.616 0.427
S 0.857 0.389 0.913
S 0.881 0.881 0.585
! Raw formation energy (eV per atom): -1.89
! Crystal system: monoclinic
! Total moment (μB/cell): 0.00
! DOS(E_F) (states/eV per cell): 6.7

No. 2
! LiTcPt, optimized geometry, DFT PBE; values from VASP
&SYSTEM
  ibrav = 0, nat = 6, ntyp = 3
/
ATOMIC_SPECIES
Li 6.94 Li.upf
Tc 98.00 Tc.upf
Pt 195.08 Pt.upf
CELL_PARAMETERS angstrom
4.063 -1.992 0.000
4.063 1.992 0.000
-1.862 0.000 5.217
ATOMIC_POSITIONS crystal
Li 0.004 0.004 0.226
Li 0.996 0.996 0.774
Tc 0.346 0.346 0.417
Tc 0.654 0.654 0.583
Pt 0.318 0.318 0.894
Pt 0.682 0.682 0.106
! Crystal system: monoclinic
! Total moment (μB/cell): 0.00
! Calculated formation energy (eV per atom): -0.150
! Energy above the lowest structure with this stoichiometry (eV per atom): 0.090
! DOS(E_F) (states/eV per cell): 3.6

No. 3
! Sm4In3Ru, optimized geometry, DFT PBE; values from VASP
&SYSTEM
  ibrav = 0, nat = 8, ntyp = 3
/
ATOMIC_SPECIES
Sm 150.36 Sm.upf
In 114.82 In.upf
Ru 101.07 Ru.upf
CELL_PARAMETERS angstrom
3.597 0.000 0.000
0.000 3.597 0.000
0.000 0.000 16.292
ATOMIC_POSITIONS crystal
Sm 0.000 0.000 0.102
Sm 0.000 0.000 0.368
Sm 0.000 0.000 0.632
Sm 0.000 0.000 0.898
In 0.500 0.500 0.238
In 0.500 0.500 0.500
In 0.500 0.500 0.762
Ru 0.500 0.500 0.000
! Crystal system: tetragonal
! Total moment (μB/cell): 0.00
! Calculated formation energy (eV per atom): -0.424
! DOS(E_F) (states/eV per cell): 5.2

No. 4
! CaGa2Br2Cl6, optimized geometry, DFT PBE; values from VASP
&SYSTEM
  ibrav = 0, nat = 11, ntyp = 4
/
ATOMIC_SPECIES
Ca 40.08 Ca.upf
Ga 69.72 Ga.upf
Br 79.90 Br.upf
Cl 35.45 Cl.upf
CELL_PARAMETERS angstrom
6.527 0.000 0.000
-3.263 5.652 0.000
0.000 0.000 11.464
ATOMIC_POSITIONS crystal
Ca 0.000 0.000 0.000
Ga 0.333 0.667 0.782
Ga 0.667 0.333 0.218
Br 0.333 0.667 0.584
Br 0.667 0.333 0.416
Cl 0.012 0.661 0.857
Cl 0.339 0.351 0.857
Cl 0.351 0.012 0.143
Cl 0.649 0.988 0.857
Cl 0.661 0.649 0.143
Cl 0.988 0.339 0.143
! Raw formation energy (eV per atom): -1.39
! Crystal system: trigonal
! Total moment (μB/cell): 0.00
! DOS(E_F) (states/eV per cell): 0.0

No. 5
! KNbSbTe2, optimized geometry, DFT PBE; values from VASP
&SYSTEM
  ibrav = 0, nat = 5, ntyp = 4
/
ATOMIC_SPECIES
K 39.10 K.upf
Nb 92.91 Nb.upf
Sb 121.76 Sb.upf
Te 127.60 Te.upf
CELL_PARAMETERS angstrom
5.534 0.000 0.000
0.000 5.534 0.000
0.000 0.000 5.481
ATOMIC_POSITIONS crystal
K 0.000 0.000 0.000
Nb 0.500 0.500 0.500
Sb 0.500 0.500 0.000
Te 0.000 0.500 0.500
Te 0.500 0.000 0.500
! Raw formation energy (eV per atom): -0.24
! Crystal system: tetragonal
! Total moment (μB/cell): 0.00
! Energy above the lowest structure with this stoichiometry (eV per atom): 0.000
! DOS(E_F) (states/eV per cell): 1.7

No. 6
! Rb2TiBr6O, optimized geometry, DFT PBE; values from VASP
&SYSTEM
  ibrav = 0, nat = 10, ntyp = 4
/
ATOMIC_SPECIES
Rb 85.47 Rb.upf
Ti 47.87 Ti.upf
Br 79.90 Br.upf
O 16.00 O.upf
CELL_PARAMETERS angstrom
-3.747 3.747 5.804
3.747 -3.747 5.804
3.747 3.747 -5.804
ATOMIC_POSITIONS crystal
Rb 0.250 0.750 0.500
Rb 0.750 0.250 0.500
Ti 0.000 0.000 0.000
Br 0.219 0.219 0.000
Br 0.239 0.239 0.478
Br 0.239 0.761 0.000
Br 0.761 0.239 0.000
Br 0.761 0.761 0.522
Br 0.781 0.781 0.000
O 0.500 0.500 0.000
! Raw formation energy (eV per atom): -1.04
! Crystal system: tetragonal
! Total moment (μB/cell): 2.00
! DOS(E_F) (states/eV per cell): 0.0

No. 7
! NaVW2, optimized geometry, DFT PBE; values from VASP
&SYSTEM
  ibrav = 0, nat = 8, ntyp = 3
/
ATOMIC_SPECIES
Na 22.99 Na.upf
V 50.94 V.upf
W 183.84 W.upf
CELL_PARAMETERS angstrom
3.120 0.000 0.000
0.000 3.126 0.000
-1.533 -0.042 15.920
ATOMIC_POSITIONS crystal
Na 0.000 0.000 0.000
Na 0.113 0.489 0.208
V 0.689 0.991 0.366
V 0.779 0.993 0.549
W 0.232 0.492 0.453
W 0.327 0.495 0.647
W 0.424 0.497 0.843
W 0.877 0.996 0.748
! Crystal system: triclinic
! Total moment (μB/cell): 1.16
! Calculated formation energy (eV per atom): 0.369
! Energy above the lowest structure with this stoichiometry (eV per atom): 0.103
! DOS(E_F) (states/eV per cell): 9.0

No. 8
! KTiNb2O, optimized geometry, DFT PBE; values from VASP
&SYSTEM
  ibrav = 0, nat = 5, ntyp = 4
/
ATOMIC_SPECIES
K 39.10 K.upf
Ti 47.87 Ti.upf
Nb 92.91 Nb.upf
O 16.00 O.upf
CELL_PARAMETERS angstrom
4.255 0.000 0.000
0.000 4.255 0.000
0.000 0.000 5.020
ATOMIC_POSITIONS crystal
K 0.000 0.000 0.000
Ti 0.500 0.500 0.000
Nb 0.000 0.500 0.500
Nb 0.500 0.000 0.500
O 0.000 0.000 0.500
! Raw formation energy (eV per atom): 0.06
! Crystal system: tetragonal
! Total moment (μB/cell): 0.02
! Energy above the lowest structure with this stoichiometry (eV per atom): 0.000
! DOS(E_F) (states/eV per cell): 6.3